Below is a geometry-optimized Nd3AlGa2Pd9 structure, with properties calculated at the PBE level.

CIF file:
```
data_Nd3AlGa2Pd9
_symmetry_space_group_name_H-M 'P 1'
_symmetry_Int_Tables_number 1
_cell_length_a 5.774
_cell_length_b 5.774
_cell_length_c 11.054
_cell_angle_alpha 90.00
_cell_angle_beta 90.00
_cell_angle_gamma 120.00
loop_
_symmetry_equiv_pos_as_xyz
'x,y,z'
loop_
_atom_site_label
_atom_site_type_symbol
_atom_site_fract_x
_atom_site_fract_y
_atom_site_fract_z
_atom_site_occupancy
Nd1 Nd 0.333 0.667 0.733 1
Nd2 Nd 0.000 0.000 0.000 1
Nd3 Nd 0.667 0.333 0.267 1
Al1 Al 0.000 0.000 0.500 1
Ga1 Ga 0.333 0.667 0.169 1
Ga2 Ga 0.667 0.333 0.831 1
Pd1 Pd 0.833 0.167 0.663 1
Pd2 Pd 0.833 0.667 0.663 1
Pd3 Pd 0.333 0.167 0.663 1
Pd4 Pd 0.667 0.833 0.337 1
Pd5 Pd 0.167 0.333 0.337 1
Pd6 Pd 0.167 0.833 0.337 1
Pd7 Pd 0.500 0.000 0.000 1
Pd8 Pd 0.000 0.500 0.000 1
Pd9 Pd 0.500 0.500 0.000 1
```

Results
- symmetry = No. 164
- M_tot (μB per cell) = 0.0
- DFT formation energy (eV/atom) = -0.610